The following is a DFT calculation (GGA+U) of an optimized crystal structure of LiVGeO4.

a = 5.1149 Å, b = 5.1149 Å, c = 6.3128 Å
α = 90.00°, β = 90.00°, γ = 113.45°
Last column: magnetic moment on the atom in μB.
Fractional coordinates of all 14 atoms:
Ge: 0.1545 0.8455 0.2500  0.02
Ge: 0.8455 0.1545 0.7500  0.02
O: 0.7308 0.2692 0.9800  -0.02
O: 0.2692 0.7308 0.0200  -0.02
O: 0.2643 0.2301 0.2500  -0.01
O: 0.7308 0.2692 0.5200  -0.02
O: 0.2301 0.2643 0.7500  -0.01
O: 0.2692 0.7308 0.4800  -0.02
O: 0.7357 0.7699 0.7500  -0.01
O: 0.7699 0.7357 0.2500  -0.01
V: 0.5000 0.5000 0.5000  1.93
V: 0.5000 0.5000 0.0000  1.93
Li: 0.8354 0.1646 0.2500  0.00
Li: 0.1646 0.8354 0.7500  0.00

The calculation puts the raw total energy at -6.7726 eV/atom. The value obtained for the size of the total moment is 2.00 μB per formula unit. The density of states at the Fermi level comes out at 0.0 states/eV per cell. The crystal system is orthorhombic. As for the space group: Cmcm.